Record 1
Here is crystalline Sm2CdRh at its relaxed geometry from Alexandria via LeMat-Bulk. Energies are from GGA-PBE.

Geometry as POSCAR:
```
Sm2CdRh
1.0
-3.409 0.419 -1.007
0.981 -0.269 -3.432
-1.028 -7.629 0.303
Rh Sm Cd
1 2 1
Direct
0.500 0.500 0.000
0.000 0.000 0.783
0.000 0.000 0.217
0.500 0.500 0.500
```

- calculated volume (Å³/cell) = 99
- ΔE to the lowest computed polymorph (meV/atom) = 0
- symmetry = P4/mmm
- formation energy from the elements (kcal/mol of atoms) = -12.303

Record 2
Here is crystalline SmCdRh at its relaxed geometry from Alexandria via LeMat-Bulk. Energies are from GGA-PBE.

Geometry as POSCAR:
```
SmCdRh
1.0
-1.122 4.379 -1.344
-2.021 0.733 -4.197
-4.525 1.305 -0.242
Rh Sm Cd
1 1 1
Direct
0.250 0.250 0.250
0.000 0.000 0.000
0.500 0.500 0.500
```

- calculated volume (Å³/cell) = 74
- symmetry = F-43m
- formation energy from the elements (kcal/mol of atoms) = -10.349

Record 3
Here is crystalline Sm7CdRh4 at its relaxed geometry from Alexandria via LeMat-Bulk. Energies are from GGA-PBE.

Geometry as POSCAR:
```
Sm7CdRh4
1.0
5.648 0.000 0.000
2.824 8.097 0.374
2.824 0.715 6.778
Sm Rh Cd
7 4 1
Direct
0.079 0.623 0.219
0.793 0.882 0.532
0.207 0.118 0.468
0.676 0.373 0.274
0.921 0.377 0.781
0.324 0.627 0.726
0.500 0.000 0.000
0.565 0.223 0.647
0.435 0.777 0.353
0.702 0.661 0.935
0.298 0.339 0.065
0.000 0.000 0.000
```

- calculated volume (Å³/cell) = 308
- symmetry = C2/m
- formation energy from the elements (kcal/mol of atoms) = -8.869